(1)
Zr2PaNb | PBE-GGA | optimized geometry

Cell lengths 3.4664, 3.4664, 7.3524 Å; angles 90.00, 90.00, 90.00 degrees
Closest atoms and distances in Å follow each position.
Positions (direct):
Zr: 0.0000 0.0000 0.2309  4 Nb 2.98, 4 Pa 3.15
Zr: 0.0000 0.0000 0.7691  4 Nb 2.98, 4 Pa 3.15
Pa: 0.5000 0.5000 0.5000  8 Zr 3.15, 4 Pa 3.47
Nb: 0.5000 0.5000 0.0000  8 Zr 2.98

Properties
energy above the lowest structure with this stoichiometry = 20 meV/atom
N(E_F) = 7.10 states/eV per cell
ρ = 9.5 g cm⁻³
size of the total moment = 0.00 μB per cell
E_form = 0.13 eV/atom

=====

(2)
HfTl3Cr | PBE-GGA | optimized geometry

Cell lengths 5.1292, 5.1292, 5.1292 Å; angles 90.00, 90.00, 90.00 degrees
Closest atoms and distances in Å follow each position.
Positions (direct):
Hf: 0.0000 0.0000 0.0000  12 Tl 3.63
Tl: 0.0000 0.5000 0.5000  2 Cr 2.56
Tl: 0.5000 0.0000 0.5000  2 Cr 2.56
Tl: 0.5000 0.5000 0.0000  2 Cr 2.56
Cr: 0.5000 0.5000 0.5000  6 Tl 2.56

Properties
energy above the lowest structure with this stoichiometry = 0 meV/atom
N(E_F) = 5.19 states/eV per cell
ρ = 10.4 g cm⁻³
size of the total moment = 2.81 μB per cell
E_form = 0.98 eV/atom

=====

(3)
LiCrAsSe2 | PBE-GGA | optimized geometry

Cell lengths 4.8562, 4.8562, 4.6312 Å; angles 90.00, 90.00, 90.00 degrees
Closest atoms and distances in Å follow each position.
Positions (direct):
Li: 0.0000 0.0000 0.0000  8 Se 3.36, 4 As 3.43
Cr: 0.5000 0.5000 0.5000  2 As 2.32, 4 Se 2.43
As: 0.5000 0.5000 0.0000  2 Cr 2.32
Se: 0.0000 0.5000 0.5000  2 Cr 2.43
Se: 0.5000 0.0000 0.5000  2 Cr 2.43

Properties
energy relative to the elements, uncorrected = 0.025 eV/atom
energy above the lowest structure with this stoichiometry = 0 meV/atom
N(E_F) = 6.21 states/eV per cell
ρ = 4.4 g cm⁻³
size of the total moment = 0.00 μB per cell